1.
# Al2PbCl (GGA-PBE, optimized geometry)
data_Al2PbCl
_symmetry_space_group_name_H-M 'P 1'
_symmetry_Int_Tables_number 1
_symmetry_space_group_name_Hall 'P 1'
_cell_length_a 6.2830
_cell_length_b 9.2114
_cell_length_c 3.3781
_cell_angle_alpha 90.00
_cell_angle_beta 90.00
_cell_angle_gamma 90.00
loop_
_atom_site_label
_atom_site_fract_x
_atom_site_fract_y
_atom_site_fract_z
_atom_site_occupancy
Al1 0.2500 0.2500 0.0000 1
Al2 0.2500 0.7500 0.0000 1
Al3 0.7500 0.2500 0.0000 1
Al4 0.7500 0.7500 0.0000 1
Pb1 0.0000 0.0000 0.5000 1
Pb2 0.5000 0.5000 0.5000 1
Cl1 0.0000 0.5000 0.5000 1
Cl2 0.5000 0.0000 0.5000 1
# Energy above the lowest structure with this stoichiometry   249 meV per atom
# Space-group type   No. 65
# E_form (uncorrected)   10.3 kJ per mole of atoms
# M_tot   0.00 μB per atom
# Raw total energy   -3.15 eV per atom

=====

2.
# AlPb2Cl (GGA-PBE, optimized geometry)
data_AlPb2Cl
_symmetry_space_group_name_H-M 'P 1'
_symmetry_Int_Tables_number 1
_symmetry_space_group_name_Hall 'P 1'
_cell_length_a 3.4478
_cell_length_b 4.7805
_cell_length_c 13.4035
_cell_angle_alpha 90.00
_cell_angle_beta 90.00
_cell_angle_gamma 90.00
loop_
_atom_site_label
_atom_site_fract_x
_atom_site_fract_y
_atom_site_fract_z
_atom_site_occupancy
Al1 0.0000 0.0000 0.0000 1
Al2 0.5000 0.5000 0.5000 1
Pb1 0.0000 0.5000 0.3096 1
Pb2 0.0000 0.5000 0.6904 1
Pb3 0.5000 0.0000 0.1904 1
Pb4 0.5000 0.0000 0.8096 1
Cl1 0.0000 0.0000 0.5000 1
Cl2 0.5000 0.5000 0.0000 1
# Space-group type   No. 71
# E_form (uncorrected)   -11.8 kJ per mole of atoms
# M_tot   0.00 μB per atom
# Raw total energy   -3.37 eV per atom

=====

3.
# AlPb2Cl (GGA-PBE, optimized geometry)
data_AlPb2Cl
_symmetry_space_group_name_H-M 'P 1'
_symmetry_Int_Tables_number 1
_symmetry_space_group_name_Hall 'P 1'
_cell_length_a 3.4388
_cell_length_b 5.3141
_cell_length_c 11.7146
_cell_angle_alpha 90.00
_cell_angle_beta 90.00
_cell_angle_gamma 90.00
loop_
_atom_site_label
_atom_site_fract_x
_atom_site_fract_y
_atom_site_fract_z
_atom_site_occupancy
Al1 0.0000 0.0000 0.0000 1
Al2 0.5000 0.5000 0.5000 1
Pb1 0.0000 0.0000 0.4879 1
Pb2 0.0000 0.5000 0.7344 1
Pb3 0.5000 0.0000 0.2344 1
Pb4 0.5000 0.5000 0.9879 1
Cl1 0.0000 0.5000 0.2656 1
Cl2 0.5000 0.0000 0.7656 1
# Space-group type   No. 44
# E_form (uncorrected)   -9.1 kJ per mole of atoms
# M_tot   0.00 μB per atom
# Raw total energy   -3.35 eV per atom

=====

4.
# AlPb2Cl (GGA-PBE, optimized geometry)
data_AlPb2Cl
_symmetry_space_group_name_H-M 'P 1'
_symmetry_Int_Tables_number 1
_symmetry_space_group_name_Hall 'P 1'
_cell_length_a 6.2199
_cell_length_b 6.2199
_cell_length_c 15.3189
_cell_angle_alpha 90.00
_cell_angle_beta 90.00
_cell_angle_gamma 90.00
loop_
_atom_site_label
_atom_site_fract_x
_atom_site_fract_y
_atom_site_fract_z
_atom_site_occupancy
Al1 0.0000 0.0000 0.0000 1
Al2 0.0000 0.5000 0.2500 1
Al3 0.5000 0.0000 0.7500 1
Al4 0.5000 0.5000 0.5000 1
Pb1 0.2341 0.2500 0.1250 1
Pb2 0.2500 0.7341 0.3750 1
Pb3 0.2500 0.7659 0.8750 1
Pb4 0.2659 0.2500 0.6250 1
Pb5 0.7341 0.7500 0.6250 1
Pb6 0.7500 0.2341 0.8750 1
Pb7 0.7500 0.2659 0.3750 1
Pb8 0.7659 0.7500 0.1250 1
Cl1 0.0000 0.0000 0.5000 1
Cl2 0.0000 0.5000 0.7500 1
Cl3 0.5000 0.0000 0.2500 1
Cl4 0.5000 0.5000 0.0000 1
# Space-group type   No. 122
# E_form (uncorrected)   11.3 kJ per mole of atoms
# M_tot   0.00 μB per atom
# Raw total energy   -3.13 eV per atom

=====

5.
# Al2PbCl (GGA-PBE, optimized geometry)
data_Al2PbCl
_symmetry_space_group_name_H-M 'P 1'
_symmetry_Int_Tables_number 1
_symmetry_space_group_name_Hall 'P 1'
_cell_length_a 4.1003
_cell_length_b 4.1003
_cell_length_c 6.0746
_cell_angle_alpha 90.00
_cell_angle_beta 90.00
_cell_angle_gamma 90.00
loop_
_atom_site_label
_atom_site_fract_x
_atom_site_fract_y
_atom_site_fract_z
_atom_site_occupancy
Al1 0.0000 0.5000 0.0000 1
Al2 0.5000 0.0000 0.0000 1
Pb1 0.0000 0.0000 0.5000 1
Cl1 0.5000 0.5000 0.5000 1
# Energy above the lowest structure with this stoichiometry   265 meV per atom
# Space-group type   No. 123
# E_form (uncorrected)   11.8 kJ per mole of atoms
# M_tot   0.00 μB per atom
# Raw total energy   -3.14 eV per atom

=====

6.
# Al2PbCl (GGA-PBE, optimized geometry)
data_Al2PbCl
_symmetry_space_group_name_H-M 'P 1'
_symmetry_Int_Tables_number 1
_symmetry_space_group_name_Hall 'P 1'
_cell_length_a 3.1902
_cell_length_b 3.1902
_cell_length_c 9.2233
_cell_angle_alpha 90.00
_cell_angle_beta 90.00
_cell_angle_gamma 90.00
loop_
_atom_site_label
_atom_site_fract_x
_atom_site_fract_y
_atom_site_fract_z
_atom_site_occupancy
Al1 0.0000 0.0000 0.0000 1
Al2 0.5000 0.5000 0.1915 1
Pb1 0.5000 0.5000 0.7493 1
Cl1 0.0000 0.0000 0.3692 1
# Energy above the lowest structure with this stoichiometry   33 meV per atom
# Space-group type   No. 99
# E_form (uncorrected)   -10.6 kJ per mole of atoms
# M_tot   0.00 μB per atom
# Raw total energy   -3.37 eV per atom

=====

7.
# Al2PbCl (GGA-PBE, optimized geometry)
data_Al2PbCl
_symmetry_space_group_name_H-M 'P 1'
_symmetry_Int_Tables_number 1
_symmetry_space_group_name_Hall 'P 1'
_cell_length_a 5.5083
_cell_length_b 5.5083
_cell_length_c 3.1947
_cell_angle_alpha 90.00
_cell_angle_beta 90.00
_cell_angle_gamma 90.00
loop_
_atom_site_label
_atom_site_fract_x
_atom_site_fract_y
_atom_site_fract_z
_atom_site_occupancy
Al1 0.0000 0.5000 0.0000 1
Al2 0.5000 0.0000 0.0000 1
Pb1 0.0000 0.0000 0.5000 1
Cl1 0.5000 0.5000 0.5000 1
# Energy above the lowest structure with this stoichiometry   213 meV per atom
# Space-group type   No. 123
# E_form (uncorrected)   6.8 kJ per mole of atoms
# M_tot   0.00 μB per atom
# Raw total energy   -3.19 eV per atom

=====

8.
# Al2PbCl (GGA-PBE, optimized geometry)
data_Al2PbCl
_symmetry_space_group_name_H-M 'P 1'
_symmetry_Int_Tables_number 1
_symmetry_space_group_name_Hall 'P 1'
_cell_length_a 7.1600
_cell_length_b 7.1600
_cell_length_c 7.1600
_cell_angle_alpha 90.00
_cell_angle_beta 90.00
_cell_angle_gamma 90.00
loop_
_atom_site_label
_atom_site_fract_x
_atom_site_fract_y
_atom_site_fract_z
_atom_site_occupancy
Al1 0.0000 0.0000 0.0000 1
Al2 0.0000 0.5000 0.5000 1
Al3 0.2500 0.2500 0.2500 1
Al4 0.2500 0.7500 0.7500 1
Al5 0.5000 0.0000 0.5000 1
Al6 0.5000 0.5000 0.0000 1
Al7 0.7500 0.2500 0.7500 1
Al8 0.7500 0.7500 0.2500 1
Pb1 0.0000 0.0000 0.5000 1
Pb2 0.0000 0.5000 0.0000 1
Pb3 0.5000 0.0000 0.0000 1
Pb4 0.5000 0.5000 0.5000 1
Cl1 0.2500 0.2500 0.7500 1
Cl2 0.2500 0.7500 0.2500 1
Cl3 0.7500 0.2500 0.2500 1
Cl4 0.7500 0.7500 0.7500 1
# Energy above the lowest structure with this stoichiometry   263 meV per atom
# Space-group type   No. 216
# E_form (uncorrected)   11.6 kJ per mole of atoms
# M_tot   0.00 μB per atom
# Raw total energy   -3.14 eV per atom

=====

9.
# AlPb2Cl (GGA-PBE, optimized geometry)
data_AlPb2Cl
_symmetry_space_group_name_H-M 'P 1'
_symmetry_Int_Tables_number 1
_symmetry_space_group_name_Hall 'P 1'
_cell_length_a 3.4705
_cell_length_b 3.4705
_cell_length_c 30.7334
_cell_angle_alpha 90.00
_cell_angle_beta 90.00
_cell_angle_gamma 120.00
loop_
_atom_site_label
_atom_site_fract_x
_atom_site_fract_y
_atom_site_fract_z
_atom_site_occupancy
Al1 0.0000 0.0000 0.0000 1
Al2 0.3333 0.6667 0.6667 1
Al3 0.6667 0.3333 0.3333 1
Pb1 0.0000 0.0000 0.2456 1
Pb2 0.0000 0.0000 0.7544 1
Pb3 0.3333 0.6667 0.4211 1
Pb4 0.3333 0.6667 0.9123 1
Pb5 0.6667 0.3333 0.0877 1
Pb6 0.6667 0.3333 0.5789 1
Cl1 0.0000 0.0000 0.5000 1
Cl2 0.3333 0.6667 0.1667 1
Cl3 0.6667 0.3333 0.8333 1
# Space-group type   No. 166
# E_form (uncorrected)   -8.2 kJ per mole of atoms
# M_tot   0.00 μB per atom
# Raw total energy   -3.34 eV per atom

=====

10.
# Al2PbCl (GGA-PBE, optimized geometry)
data_Al2PbCl
_symmetry_space_group_name_H-M 'P 1'
_symmetry_Int_Tables_number 1
_symmetry_space_group_name_Hall 'P 1'
_cell_length_a 5.8144
_cell_length_b 11.8041
_cell_length_c 3.2596
_cell_angle_alpha 90.00
_cell_angle_beta 121.28
_cell_angle_gamma 90.00
loop_
_atom_site_label
_atom_site_fract_x
_atom_site_fract_y
_atom_site_fract_z
_atom_site_occupancy
Al1 0.2500 0.2500 0.0000 1
Al2 0.2500 0.7500 0.0000 1
Al3 0.7500 0.2500 0.0000 1
Al4 0.7500 0.7500 0.0000 1
Pb1 0.0000 0.0000 0.5000 1
Pb2 0.5000 0.5000 0.5000 1
Cl1 0.0000 0.5000 0.5000 1
Cl2 0.5000 0.0000 0.5000 1
# Energy above the lowest structure with this stoichiometry   194 meV per atom
# Space-group type   No. 12
# E_form (uncorrected)   5.0 kJ per mole of atoms
# M_tot   0.00 μB per atom
# Raw total energy   -3.21 eV per atom